# 1
{
  "formula": "Te2BrN2",
  "functional": "GGA-PBE",
  "state": "optimized geometry",
  "lattice_angstrom": [[4.114, 0.000, 0.000], [0.000, 4.114, 0.000], [0.000, 0.000, 6.635]],
  "species": ["Te", "Te", "Br", "N", "N"],
  "fractional_positions": [[0.000, 0.000, 0.000], [0.000, 0.000, 0.500], [0.500, 0.500, 0.500], [0.000, 0.500, 0.000], [0.500, 0.000, 0.000]],
  "total_magnetization_mub_per_cell": 1.22,
  "formation_energy_uncorrected_ev_per_fu": 6.71,
  "final_energy_ev_per_atom": -3.58,
  "density_kg_m3": 5370,
  "polymorph_energy_mev_per_atom": 732.8
}



# 2
{
  "formula": "TeBr6N2",
  "functional": "GGA-PBE",
  "state": "optimized geometry",
  "lattice_angstrom": [[-0.249, -7.101, 2.648], [-2.314, -1.320, 7.099], [-6.688, -3.349, 1.247]],
  "species": ["Te", "Br", "Br", "Br", "Br", "Br", "Br", "N", "N"],
  "fractional_positions": [[0.000, 0.000, 0.000], [0.243, 0.757, 0.757], [0.243, 0.243, 0.757], [0.243, 0.757, 0.243], [0.757, 0.243, 0.243], [0.757, 0.757, 0.243], [0.757, 0.243, 0.757], [0.750, 0.750, 0.750], [0.250, 0.250, 0.250]],
  "total_magnetization_mub_per_cell": 6.14,
  "formation_energy_uncorrected_ev_per_fu": 9.96,
  "final_energy_ev_per_atom": -2.21,
  "density_kg_m3": 3421
}



# 3
{
  "formula": "TeBrN",
  "functional": "GGA-PBE",
  "state": "optimized geometry",
  "lattice_angstrom": [[5.047, 0.973, -1.330], [2.604, 3.078, -1.171], [-7.752, -2.324, 16.844]],
  "species": ["Te", "Te", "Br", "Br", "N", "N"],
  "fractional_positions": [[0.845, 0.709, 0.926], [0.155, 0.291, 0.074], [0.403, 0.229, 0.768], [0.597, 0.771, 0.232], [0.453, 0.056, 0.470], [0.547, 0.944, 0.530]],
  "total_magnetization_mub_per_cell": 0.00,
  "formation_energy_uncorrected_ev_per_fu": -0.03,
  "final_energy_ev_per_atom": -4.39,
  "density_kg_m3": 3864,
  "polymorph_energy_mev_per_atom": 0.0
}



# 4
{
  "formula": "TeBr3N",
  "functional": "GGA-PBE",
  "state": "optimized geometry",
  "lattice_angstrom": [[-6.195, -0.709, 4.000], [-0.995, -4.940, 3.872], [12.641, 8.788, 0.398]],
  "species": ["Te", "Te", "Br", "Br", "Br", "Br", "Br", "Br", "N", "N"],
  "fractional_positions": [[0.981, 0.263, 0.547], [0.384, 0.038, 0.507], [0.070, 0.258, 0.326], [0.297, 0.041, 0.727], [0.903, 0.423, 0.923], [0.544, 0.614, 0.361], [0.466, 0.876, 0.132], [0.827, 0.687, 0.695], [0.677, 0.562, 0.116], [0.692, 0.737, 0.939]],
  "total_magnetization_mub_per_cell": 3.99,
  "formation_energy_uncorrected_ev_per_fu": 2.92,
  "final_energy_ev_per_atom": -2.71,
  "density_kg_m3": 3144,
  "polymorph_energy_mev_per_atom": 0.0
}



# 5
{
  "formula": "Te2BrN2",
  "functional": "GGA-PBE",
  "state": "optimized geometry",
  "lattice_angstrom": [[-0.246, -1.840, -4.443], [4.059, -2.466, 0.796], [-2.171, -3.118, 1.411]],
  "species": ["Te", "Te", "Br", "N", "N"],
  "fractional_positions": [[0.000, 0.500, 0.000], [0.500, 0.000, 0.000], [0.500, 0.500, 0.500], [0.000, 0.000, 0.000], [0.000, 0.000, 0.500]],
  "total_magnetization_mub_per_cell": 0.81,
  "formation_energy_uncorrected_ev_per_fu": 8.51,
  "final_energy_ev_per_atom": -3.22,
  "density_kg_m3": 6416,
  "polymorph_energy_mev_per_atom": 1091.9
}



# 6
{
  "formula": "TeBrN",
  "functional": "GGA-PBE",
  "state": "optimized geometry",
  "lattice_angstrom": [[-0.180, 3.876, 0.980], [-8.199, -1.493, -3.770], [-3.812, -1.468, 5.104]],
  "species": ["N", "N", "Te", "Te", "Br", "Br"],
  "fractional_positions": [[0.968, 0.936, 0.015], [0.032, 0.064, 0.985], [0.761, 0.521, 0.841], [0.239, 0.479, 0.159], [0.357, 0.714, 0.543], [0.643, 0.286, 0.457]],
  "total_magnetization_mub_per_cell": 0.00,
  "formation_energy_uncorrected_ev_per_fu": -0.02,
  "final_energy_ev_per_atom": -4.39,
  "density_kg_m3": 3248,
  "polymorph_energy_mev_per_atom": 2.6
}



# 7
{
  "formula": "TiTe2BrN",
  "functional": "GGA-PBE",
  "state": "optimized geometry",
  "lattice_angstrom": [[5.651, 0.000, 0.000], [0.000, 5.651, 0.000], [0.000, 0.000, 3.740]],
  "species": ["N", "Te", "Te", "Br", "Ti"],
  "fractional_positions": [[0.000, 0.000, 0.500], [0.000, 0.500, 0.000], [0.500, 0.000, 0.000], [0.500, 0.500, 0.500], [0.000, 0.000, 0.000]],
  "total_magnetization_mub_per_cell": 0.00,
  "formation_energy_uncorrected_ev_per_fu": 0.46,
  "final_energy_ev_per_atom": -4.74,
  "density_kg_m3": 5520,
  "polymorph_energy_mev_per_atom": 0.0
}



# 8
{
  "formula": "TiTe2BrN",
  "functional": "GGA-PBE",
  "state": "optimized geometry",
  "lattice_angstrom": [[-5.560, 1.058, -0.284], [-0.487, -1.068, 5.544], [0.643, 3.580, 0.746]],
  "species": ["N", "Te", "Te", "Br", "Ti"],
  "fractional_positions": [[0.000, 0.000, 0.500], [0.000, 0.500, 0.000], [0.500, 0.000, 0.000], [0.000, 0.000, 0.000], [0.500, 0.500, 0.500]],
  "total_magnetization_mub_per_cell": 1.90,
  "formation_energy_uncorrected_ev_per_fu": 6.45,
  "final_energy_ev_per_atom": -3.55,
  "density_kg_m3": 5529,
  "polymorph_energy_mev_per_atom": 1198.2
}



# 9
{
  "formula": "TlTe2BrN",
  "functional": "GGA-PBE",
  "state": "optimized geometry",
  "lattice_angstrom": [[6.122, 0.000, 0.000], [0.000, 6.122, 0.000], [0.000, 0.000, 4.190]],
  "species": ["Tl", "Te", "Te", "Br", "N"],
  "fractional_positions": [[0.000, 0.000, 0.000], [0.000, 0.500, 0.000], [0.500, 0.000, 0.000], [0.500, 0.500, 0.500], [0.000, 0.000, 0.500]],
  "total_magnetization_mub_per_cell": 2.84,
  "formation_energy_uncorrected_ev_per_fu": 6.04,
  "final_energy_ev_per_atom": -2.52,
  "density_kg_m3": 5853,
  "polymorph_energy_mev_per_atom": 146.8
}



# 10
{
  "formula": "TlTe2BrN",
  "functional": "GGA-PBE",
  "state": "optimized geometry",
  "lattice_angstrom": [[6.529, 0.000, 0.000], [0.000, 6.529, 0.000], [0.000, 0.000, 3.583]],
  "species": ["Tl", "Te", "Te", "Br", "N"],
  "fractional_positions": [[0.500, 0.500, 0.500], [0.000, 0.500, 0.000], [0.500, 0.000, 0.000], [0.000, 0.000, 0.000], [0.000, 0.000, 0.500]],
  "total_magnetization_mub_per_cell": 0.00,
  "formation_energy_uncorrected_ev_per_fu": 5.31,
  "final_energy_ev_per_atom": -2.67,
  "density_kg_m3": 6017,
  "polymorph_energy_mev_per_atom": 0.0
}



# 11
{
  "formula": "YTe2BrN",
  "functional": "GGA-PBE",
  "state": "optimized geometry",
  "lattice_angstrom": [[5.586, 0.000, 0.000], [0.000, 5.586, 0.000], [0.000, 0.000, 4.060]],
  "species": ["Y", "Te", "Te", "Br", "N"],
  "fractional_positions": [[0.500, 0.500, 0.500], [0.000, 0.500, 0.000], [0.500, 0.000, 0.000], [0.000, 0.000, 0.000], [0.000, 0.000, 0.500]],
  "total_magnetization_mub_per_cell": 0.75,
  "formation_energy_uncorrected_ev_per_fu": 3.40,
  "final_energy_ev_per_atom": -3.87,
  "density_kg_m3": 5741,
  "polymorph_energy_mev_per_atom": 818.5
}



# 12
{
  "formula": "YTeBrN2",
  "functional": "GGA-PBE",
  "state": "optimized geometry",
  "lattice_angstrom": [[-2.862, 2.336, 2.611], [-2.710, 0.659, -3.561], [-3.171, -5.454, 1.403]],
  "species": ["Y", "Te", "Br", "N", "N"],
  "fractional_positions": [[0.000, 0.000, 0.000], [0.000, 0.000, 0.500], [0.500, 0.500, 0.500], [0.000, 0.500, 0.000], [0.500, 0.000, 0.000]],
  "total_magnetization_mub_per_cell": 3.58,
  "formation_energy_uncorrected_ev_per_fu": 3.71,
  "final_energy_ev_per_atom": -4.84,
  "density_kg_m3": 4073,
  "polymorph_energy_mev_per_atom": 0.0
}



# 13
{
  "formula": "YTe2BrN",
  "functional": "GGA-PBE",
  "state": "optimized geometry",
  "lattice_angstrom": [[4.873, 0.000, 0.000], [0.000, 4.982, 0.000], [0.000, 0.000, 4.873]],
  "species": ["Y", "Te", "Te", "Br", "N"],
  "fractional_positions": [[0.000, 0.500, 0.000], [0.000, 0.000, 0.500], [0.500, 0.000, 0.000], [0.500, 0.500, 0.500], [0.000, 0.000, 0.000]],
  "total_magnetization_mub_per_cell": 0.00,
  "formation_energy_uncorrected_ev_per_fu": -0.69,
  "final_energy_ev_per_atom": -4.69,
  "density_kg_m3": 6149,
  "polymorph_energy_mev_per_atom": 0.0
}



# 14
{
  "formula": "YTeBrN2",
  "functional": "GGA-PBE",
  "state": "optimized geometry",
  "lattice_angstrom": [[4.313, 0.000, 0.000], [0.000, 4.313, 0.000], [0.000, 0.000, 5.358]],
  "species": ["Y", "Te", "Br", "N", "N"],
  "fractional_positions": [[0.500, 0.500, 0.500], [0.000, 0.000, 0.500], [0.000, 0.000, 0.000], [0.000, 0.500, 0.000], [0.500, 0.000, 0.000]],
  "total_magnetization_mub_per_cell": 0.65,
  "formation_energy_uncorrected_ev_per_fu": 6.62,
  "final_energy_ev_per_atom": -4.26,
  "density_kg_m3": 5405,
  "polymorph_energy_mev_per_atom": 583.5
}



# 15
{
  "formula": "YTe2BrN",
  "functional": "GGA-PBE",
  "state": "optimized geometry",
  "lattice_angstrom": [[-3.891, 3.784, -2.949], [-3.478, -4.840, -1.621], [-2.172, 0.420, 3.405]],
  "species": ["Y", "Te", "Te", "Br", "N"],
  "fractional_positions": [[0.000, 0.000, 0.000], [0.000, 0.500, 0.000], [0.500, 0.000, 0.000], [0.500, 0.500, 0.500], [0.000, 0.000, 0.500]],
  "total_magnetization_mub_per_cell": 0.36,
  "formation_energy_uncorrected_ev_per_fu": 1.78,
  "final_energy_ev_per_atom": -4.19,
  "density_kg_m3": 4695,
  "polymorph_energy_mev_per_atom": 494.0
}



# 16
{
  "formula": "ZrTe2BrN",
  "functional": "GGA-PBE",
  "state": "optimized geometry",
  "lattice_angstrom": [[-2.085, 0.703, 5.384], [4.381, -3.190, 2.113], [2.237, 3.355, 0.428]],
  "species": ["Te", "Te", "Br", "Zr", "N"],
  "fractional_positions": [[0.000, 0.500, 0.000], [0.500, 0.000, 0.000], [0.500, 0.500, 0.500], [0.000, 0.000, 0.000], [0.000, 0.000, 0.500]],
  "total_magnetization_mub_per_cell": 0.00,
  "formation_energy_uncorrected_ev_per_fu": 0.72,
  "final_energy_ev_per_atom": -4.82,
  "density_kg_m3": 5330,
  "polymorph_energy_mev_per_atom": 0.0
}



# 17
{
  "formula": "ZrTe2BrN",
  "functional": "GGA-PBE",
  "state": "optimized geometry",
  "lattice_angstrom": [[5.642, 0.000, 0.000], [0.000, 5.642, 0.000], [0.000, 0.000, 3.718]],
  "species": ["Te", "Te", "Br", "Zr", "N"],
  "fractional_positions": [[0.000, 0.500, 0.000], [0.500, 0.000, 0.000], [0.000, 0.000, 0.000], [0.500, 0.500, 0.500], [0.000, 0.000, 0.500]],
  "total_magnetization_mub_per_cell": 0.49,
  "formation_energy_uncorrected_ev_per_fu": 5.73,
  "final_energy_ev_per_atom": -3.82,
  "density_kg_m3": 6178,
  "polymorph_energy_mev_per_atom": 1002.3
}



# 18
{
  "formula": "Th6Br15N",
  "functional": "GGA-PBE",
  "state": "optimized geometry",
  "lattice_angstrom": [[-0.473, 6.572, 7.366], [-5.775, 2.977, -7.447], [-3.086, -8.811, 3.243]],
  "species": ["Th", "Th", "Th", "Th", "Th", "Th", "Br", "Br", "Br", "Br", "Br", "Br", "Br", "Br", "Br", "Br", "Br", "Br", "Br", "Br", "Br", "N"],
  "fractional_positions": [[0.770, 0.000, 0.770], [0.770, 0.770, 0.000], [0.000, 0.230, 0.230], [0.230, 0.000, 0.230], [0.230, 0.230, 0.000], [0.000, 0.770, 0.770], [0.747, 0.000, 0.253], [0.747, 0.253, 0.000], [0.494, 0.747, 0.747], [0.253, 0.506, 0.253], [0.253, 0.253, 0.506], [0.506, 0.253, 0.253], [0.747, 0.494, 0.747], [0.253, 0.747, 0.000], [0.000, 0.747, 0.253], [0.253, 0.000, 0.747], [0.747, 0.747, 0.494], [0.000, 0.253, 0.747], [0.500, 0.000, 0.500], [0.500, 0.500, 0.000], [0.000, 0.500, 0.500], [0.000, 0.000, 0.000]],
  "total_magnetization_mub_per_cell": 0.00,
  "formation_energy_uncorrected_ev_per_fu": -35.40,
  "final_energy_ev_per_atom": -5.15,
  "density_kg_m3": 5821
}



# 19
{
  "formula": "ThBrN",
  "functional": "GGA-PBE",
  "state": "optimized geometry",
  "lattice_angstrom": [[4.052, 0.000, 0.000], [0.000, 4.052, 0.000], [0.000, 0.000, 9.040]],
  "species": ["Th", "Th", "Br", "Br", "N", "N"],
  "fractional_positions": [[0.000, 0.500, 0.871], [0.500, 0.000, 0.129], [0.500, 0.000, 0.676], [0.000, 0.500, 0.324], [0.000, 0.000, 0.000], [0.500, 0.500, 0.000]],
  "total_magnetization_mub_per_cell": 0.00,
  "formation_energy_uncorrected_ev_per_fu": -5.87,
  "final_energy_ev_per_atom": -7.76,
  "density_kg_m3": 7292
}



# 20
{
  "formula": "ThBrN",
  "functional": "GGA-PBE",
  "state": "optimized geometry",
  "lattice_angstrom": [[-0.515, 1.919, 3.298], [0.145, -3.315, 1.952], [10.134, 1.704, -1.656]],
  "species": ["Th", "Th", "Br", "Br", "N", "N"],
  "fractional_positions": [[0.073, 0.073, 0.146], [0.927, 0.927, 0.854], [0.338, 0.338, 0.676], [0.662, 0.662, 0.324], [0.500, 0.000, 0.000], [0.000, 0.500, 0.000]],
  "total_magnetization_mub_per_cell": 0.00,
  "formation_energy_uncorrected_ev_per_fu": -3.76,
  "final_energy_ev_per_atom": -7.06,
  "density_kg_m3": 7269
}